A relaxed ScMnIn2O6 crystal. Source: Alexandria, functional GGA+U.

Cell lengths 5.378, 5.380, 5.687 Å; angles 61.94, 61.83, 60.02 degrees
Space group P1 (No. 1)
Inequivalent atoms, fractional coordinates:
Sc1 0.000 0.000 0.000 (multiplicity 1)
Mn1 0.492 0.492 0.524 (multiplicity 1)
In1 0.280 0.280 0.160 (multiplicity 1)
In2 0.788 0.786 0.639 (multiplicity 1)
O1 0.122 0.375 0.797 (multiplicity 1)
O2 0.221 0.860 0.308 (multiplicity 1)
O3 0.377 0.703 0.796 (multiplicity 1)
O4 0.610 0.221 0.310 (multiplicity 1)
O5 0.703 0.121 0.798 (multiplicity 1)
O6 0.859 0.611 0.309 (multiplicity 1)

Properties
total magnetization: 2.0 Bohr magnetons per cell
electronic total energy: -6.79 eV/atom